# VCdHg GGA-PBE relaxed
# Fermi-level density of states	1.94	states/eV/f.u.
# electronic total energy	-3.08	eV per atom
data_VCdHg
_space_group_name_H-M_alt 'C 1 m 1'
_space_group_IT_number 8
_cell_length_a 9.075
_cell_length_b 4.652
_cell_length_c 6.043
_cell_angle_alpha 90.00
_cell_angle_beta 111.91
_cell_angle_gamma 90.00
loop_
_space_group_symop_operation_xyz
'x,y,z'
'x,-y,z'
'x+1/2,y+1/2,z'
'x+1/2,-y+1/2,z'
loop_
_atom_site_label
_atom_site_fract_x
_atom_site_fract_y
_atom_site_fract_z
_atom_site_occupancy
V1 0.000 0.000 0.000 1
V2 0.223 0.000 0.192 1
Cd1 0.076 0.500 0.329 1
Cd2 0.431 0.500 0.463 1
Hg1 0.159 0.500 0.891 1
Hg2 0.301 0.000 0.716 1

=====

# VCdHg GGA-PBE relaxed
# Fermi-level density of states	1.90	states/eV/f.u.
# electronic total energy	-3.19	eV per atom
data_VCdHg
_space_group_name_H-M_alt 'P -1'
_space_group_IT_number 2
_cell_length_a 2.995
_cell_length_b 5.384
_cell_length_c 7.704
_cell_angle_alpha 76.40
_cell_angle_beta 80.10
_cell_angle_gamma 83.00
loop_
_space_group_symop_operation_xyz
'x,y,z'
'-x,-y,-z'
loop_
_atom_site_label
_atom_site_fract_x
_atom_site_fract_y
_atom_site_fract_z
_atom_site_occupancy
V1 0.140 0.150 0.418 1
Cd1 0.445 0.334 0.699 1
Hg1 0.226 0.769 0.917 1

=====

# VCdHg GGA-PBE relaxed
# Fermi-level density of states	1.71	states/eV/f.u.
# electronic total energy	-3.10	eV per atom
data_VCdHg
_space_group_name_H-M_alt 'P 1'
_space_group_IT_number 1
_cell_length_a 4.912
_cell_length_b 4.973
_cell_length_c 5.916
_cell_angle_alpha 70.47
_cell_angle_beta 82.95
_cell_angle_gamma 60.70
loop_
_space_group_symop_operation_xyz
'x,y,z'
loop_
_atom_site_label
_atom_site_fract_x
_atom_site_fract_y
_atom_site_fract_z
_atom_site_occupancy
V1 0.000 0.000 0.000 1
V2 0.185 0.572 0.224 1
Cd1 0.312 0.422 0.762 1
Cd2 0.525 0.869 0.352 1
Hg1 0.662 0.695 0.911 1
Hg2 0.873 0.155 0.461 1

=====

# V2CdHg GGA-PBE relaxed
# Fermi-level density of states	5.82	states/eV/f.u.
# electronic total energy	-4.33	eV per atom
data_V2CdHg
_space_group_name_H-M_alt 'F m -3 m'
_space_group_IT_number 225
_space_group_name_Hall '-F 4 2 3'
_cell_length_a 6.622
_cell_length_b 6.622
_cell_length_c 6.622
_cell_angle_alpha 90.00
_cell_angle_beta 90.00
_cell_angle_gamma 90.00
loop_
_atom_site_label
_atom_site_fract_x
_atom_site_fract_y
_atom_site_fract_z
_atom_site_occupancy
V1 0.250 0.250 0.250 1
Cd1 0.000 0.000 0.000 1
Hg1 0.000 0.000 0.500 1

=====

# V3CdHg GGA-PBE relaxed
# Fermi-level density of states	12.81	states/eV/f.u.
# electronic total energy	-4.05	eV per atom
data_V3CdHg
_space_group_name_H-M_alt 'P m -3 m'
_space_group_IT_number 221
_space_group_name_Hall '-P 4 2 3'
_cell_length_a 5.055
_cell_length_b 5.055
_cell_length_c 5.055
_cell_angle_alpha 90.00
_cell_angle_beta 90.00
_cell_angle_gamma 90.00
loop_
_atom_site_label
_atom_site_fract_x
_atom_site_fract_y
_atom_site_fract_z
_atom_site_occupancy
V1 0.000 0.000 0.500 1
Cd1 0.000 0.000 0.000 1
Hg1 0.500 0.500 0.500 1

=====

# VCdHg GGA-PBE relaxed
# Fermi-level density of states	2.36	states/eV/f.u.
# electronic total energy	-3.19	eV per atom
data_VCdHg
_space_group_name_H-M_alt 'C 1 m 1'
_space_group_IT_number 8
_cell_length_a 10.013
_cell_length_b 3.055
_cell_length_c 7.849
_cell_angle_alpha 90.00
_cell_angle_beta 98.68
_cell_angle_gamma 90.00
loop_
_space_group_symop_operation_xyz
'x,y,z'
'x,-y,z'
'x+1/2,y+1/2,z'
'x+1/2,-y+1/2,z'
loop_
_atom_site_label
_atom_site_fract_x
_atom_site_fract_y
_atom_site_fract_z
_atom_site_occupancy
V1 0.000 0.000 0.000 1
V2 0.168 0.500 0.120 1
Cd1 0.004 0.500 0.679 1
Cd2 0.412 0.000 0.274 1
Hg1 0.170 0.000 0.440 1
Hg2 0.262 0.000 0.855 1

=====

# VCdHg GGA-PBE relaxed
# Fermi-level density of states	1.87	states/eV/f.u.
# electronic total energy	-3.11	eV per atom
data_VCdHg
_space_group_name_H-M_alt 'I 4 m m'
_space_group_IT_number 107
_space_group_name_Hall 'I 4 -2'
_cell_length_a 2.929
_cell_length_b 2.929
_cell_length_c 13.068
_cell_angle_alpha 90.00
_cell_angle_beta 90.00
_cell_angle_gamma 90.00
loop_
_atom_site_label
_atom_site_fract_x
_atom_site_fract_y
_atom_site_fract_z
_atom_site_occupancy
V1 0.000 0.000 0.000 1
Cd1 0.000 0.000 0.657 1
Hg1 0.000 0.000 0.345 1

=====

# ZrV2CdHg GGA-PBE relaxed
# Fermi-level density of states	8.96	states/eV/f.u.
# electronic total energy	-4.30	eV per atom
data_ZrV2CdHg
_space_group_name_H-M_alt 'P 4/m m m'
_space_group_IT_number 123
_space_group_name_Hall '-P 4 2'
_cell_length_a 5.024
_cell_length_b 5.024
_cell_length_c 5.304
_cell_angle_alpha 90.00
_cell_angle_beta 90.00
_cell_angle_gamma 90.00
loop_
_atom_site_label
_atom_site_fract_x
_atom_site_fract_y
_atom_site_fract_z
_atom_site_occupancy
Zr1 0.000 0.000 0.000 1
V1 0.000 0.500 0.500 1
Cd1 0.500 0.500 0.000 1
Hg1 0.000 0.000 0.500 1